First-principles (PBE) data for LaTe2RuF after structural relaxation, as listed in Alexandria via LeMat-Bulk.

Output
total magnetization: 0.752 μB/f.u.
ΔE_f (raw): -468 kJ/mol of formula units

POSCAR file:
```
LaTe2RuF
1.0
5.3925 0.0000 0.0000
0.0000 5.3925 0.0000
0.0000 0.0000 4.1890
F Te La Ru
1 2 1 1
Cartesian
0.0000 0.0000 2.0945
2.6962 0.0000 0.0000
0.0000 2.6962 0.0000
2.6962 2.6962 2.0945
0.0000 0.0000 0.0000
```

First-principles (PBE) data for La2TlRuF after structural relaxation, as listed in Alexandria via LeMat-Bulk.

Output
total magnetization: 0.004 μB/f.u.
ΔE_f (raw): 160 kJ/mol of formula units

POSCAR file:
```
La2TlRuF
1.0
-3.2427 -4.8892 -1.2064
3.4565 -2.5735 1.1391
-1.9459 -0.1069 5.6636
La F Ru Tl
2 1 1 1
Cartesian
-1.6213 -2.4446 -0.6032
-0.9730 -0.0534 2.8318
1.7283 -1.2868 0.5695
-0.8660 -3.7848 2.7981
0.0000 0.0000 0.0000
```

First-principles (PBE) data for LaYRu2F after structural relaxation, as listed in Alexandria via LeMat-Bulk.

Output
total magnetization: 1.018 μB/f.u.
ΔE_f (raw): -62 kJ/mol of formula units

POSCAR file:
```
LaYRu2F
1.0
4.8474 0.0000 0.0000
0.0000 4.4037 0.0000
0.0000 0.0000 4.8474
Ru Y La F
2 1 1 1
Cartesian
0.0000 0.0000 2.4237
2.4237 0.0000 0.0000
2.4237 2.2019 2.4237
0.0000 2.2019 0.0000
0.0000 0.0000 0.0000
```

First-principles (PBE) data for LaZr2RuF after structural relaxation, as listed in Alexandria via LeMat-Bulk.

Output
total magnetization: 0.000 μB/f.u.
ΔE_f (raw): -165 kJ/mol of formula units

POSCAR file:
```
LaZr2RuF
1.0
-3.6492 -2.2362 0.6631
-0.5091 -0.8206 -5.5694
2.2996 -3.6553 0.3283
Ru F La Zr
1 1 1 2
Cartesian
-0.2546 -0.4103 -2.7847
0.0000 0.0000 0.0000
-0.9294 -3.3561 -2.2890
-1.8246 -1.1181 0.3315
1.1498 -1.8277 0.1642
```

First-principles (PBE) data for La2SF2 after structural relaxation, as listed in Alexandria via LeMat-Bulk.

Output
total magnetization: 0.293 μB/f.u.
ΔE_f (raw): -1223 kJ/mol of formula units

POSCAR file:
```
La2SF2
1.0
-6.5284 3.3427 -0.3263
-2.1981 -3.7131 5.9398
1.1566 2.4503 1.9598
F La S
4 4 2
Cartesian
-7.1274 0.6713 3.3672
-4.4545 -1.9990 5.1283
-1.5992 -1.0417 2.2462
-4.2720 1.6286 0.4851
-5.4152 2.7806 2.5724
-1.8751 1.5753 1.9900
-5.6948 0.5045 5.5832
-2.1547 -0.7008 5.0008
0.0000 0.0000 0.0000
-4.3633 -0.1852 2.8067
```

First-principles (PBE) data for La2SF after structural relaxation, as listed in Alexandria via LeMat-Bulk.

Output
total magnetization: 2.706 μB/f.u.
ΔE_f (raw): -755 kJ/mol of formula units

POSCAR file:
```
La2SF
1.0
-1.3856 5.5218 -2.8638
-4.3587 1.2313 4.4830
1.1735 6.0508 4.0086
La F S
4 2 2
Cartesian
-1.3945 7.1046 3.7375
-2.6423 3.1251 3.3668
-4.0257 10.4130 4.2992
-1.0792 4.9651 -0.1482
-2.8722 3.3765 0.8096
-3.0287 5.3293 4.6505
-1.5421 7.4746 0.9772
0.0000 0.0000 0.0000
```

First-principles (PBE) data for La2S2F after structural relaxation, as listed in Alexandria via LeMat-Bulk.

Output
total magnetization: 0.000 μB/f.u.
ΔE_f (raw): -360 kJ/mol of formula units

POSCAR file:
```
La2S2F
1.0
-5.5115 1.2051 1.9733
-0.6818 -5.7211 1.5895
5.1468 2.8901 12.6098
S La F
2 2 1
Cartesian
-1.3242 -1.2627 6.1241
0.2777 -0.3632 10.0486
1.1504 0.1268 12.1868
-2.1969 -1.7527 3.9859
-3.0967 -2.2580 1.7814
```

First-principles (PBE) data for La2S2F after structural relaxation, as listed in Alexandria via LeMat-Bulk.

Output
total magnetization: 0.000 μB/f.u.
ΔE_f (raw): -1224 kJ/mol of formula units

POSCAR file:
```
La2S2F
1.0
-3.8378 -0.3451 -0.7316
1.4981 -3.2090 4.1686
-2.1145 8.3218 7.1661
S La F
4 4 2
Cartesian
-2.5709 -2.0890 3.9583
-2.7773 1.3898 3.3998
-1.3812 4.8804 4.9430
-2.0331 4.7793 8.4102
-3.1272 -0.1591 5.9662
-1.8941 7.1588 6.5589
-0.4782 -0.5028 2.7459
-3.4768 3.3057 6.1653
-1.3658 1.7768 6.3263
-2.0471 -1.1074 0.7477
```

First-principles (PBE) data for La2SF after structural relaxation, as listed in Alexandria via LeMat-Bulk.

Output
total magnetization: 0.346 μB/f.u.
ΔE_f (raw): -834 kJ/mol of formula units

POSCAR file:
```
La2SF
1.0
3.9318 0.0000 0.0000
1.9659 3.4050 0.0000
1.9659 1.1350 6.8616
La S F
2 1 1
Cartesian
1.9659 1.1350 5.1790
1.9659 1.1350 1.6449
5.8977 3.4050 6.8382
3.9318 2.2700 3.4920
```

First-principles (PBE) data for La2SF after structural relaxation, as listed in Alexandria via LeMat-Bulk.

Output
total magnetization: 0.000 μB/f.u.
ΔE_f (raw): -742 kJ/mol of formula units

POSCAR file:
```
La2SF
1.0
3.3904 -3.4661 -0.8667
2.4998 -1.9915 3.7477
-0.8534 -4.6661 1.3265
F La S
1 2 1
Cartesian
0.0000 0.0000 0.0000
3.7776 -7.5928 3.1556
1.2592 -2.5309 1.0519
2.5184 -5.0619 2.1037
```

First-principles (PBE) data for La2S2F after structural relaxation, as listed in Alexandria via LeMat-Bulk.

Output
total magnetization: 0.000 μB/f.u.
ΔE_f (raw): -1214 kJ/mol of formula units

POSCAR file:
```
La2S2F
1.0
7.5425 0.0000 0.0000
0.0000 7.5425 0.0000
0.0000 0.0000 3.9264
F La S
2 4 4
Cartesian
0.0000 0.0000 0.0000
3.7712 3.7712 0.0000
1.2421 2.5291 0.0000
2.5291 6.3003 0.0000
6.3003 5.0134 0.0000
5.0134 1.2421 0.0000
2.6870 1.0843 1.9632
6.4582 2.6870 1.9632
1.0843 4.8555 1.9632
4.8555 6.4582 1.9632
```

First-principles (PBE) data for La2SF2 after structural relaxation, as listed in Alexandria via LeMat-Bulk.

Output
total magnetization: 0.000 μB/f.u.
ΔE_f (raw): -1257 kJ/mol of formula units

POSCAR file:
```
La2SF2
1.0
-2.1523 -3.2885 -2.7715
3.5440 0.3995 -3.2262
2.8667 -4.5508 -0.9988
S F La
1 2 2
Cartesian
0.0000 0.0000 0.0000
1.3450 -2.3733 -2.4008
2.9135 -5.0665 -4.5957
3.5533 -2.7979 -3.6119
0.7051 -4.6419 -3.3846
```

First-principles (PBE) data for La4S5F after structural relaxation, as listed in Alexandria via LeMat-Bulk.

Output
total magnetization: 0.001 μB/f.u.
ΔE_f (raw): -2184 kJ/mol of formula units

POSCAR file:
```
La4S5F
1.0
4.0884 0.0000 0.0000
0.0000 7.5420 -1.2255
-2.0442 -2.3818 9.2802
S La F
5 4 1
Cartesian
2.0442 2.9676 5.5027
0.0000 6.2507 1.8928
2.0442 -1.0905 6.1620
0.0000 2.1927 2.5520
2.0442 3.7710 -0.6127
2.0442 0.6154 3.8483
0.0000 4.5448 4.2065
2.0442 3.2718 8.3610
0.0000 1.8884 -0.3062
2.0442 0.0000 0.0000
```

First-principles (PBE) data for La2SF4 after structural relaxation, as listed in Alexandria via LeMat-Bulk.

Output
total magnetization: 0.000 μB/f.u.
ΔE_f (raw): -2510 kJ/mol of formula units

POSCAR file:
```
La2SF4
1.0
-1.4961 -0.9266 -3.5925
4.8775 -5.7138 -0.5574
-5.0021 -4.5886 3.2667
La S F
4 2 8
Cartesian
-0.7830 -3.3526 -1.0365
-0.8378 -7.8764 0.1532
2.7084 -5.4668 0.2822
-2.8331 -4.8357 2.4271
-0.7480 -0.4633 -1.7963
-0.0623 -5.1512 1.3546
-1.2955 -8.0057 2.6045
1.2765 -4.6023 -1.5718
1.2463 -7.0987 -0.9153
-2.8972 -6.6268 0.6885
-2.8670 -4.1304 0.0320
-1.2231 -2.0241 1.0314
1.1708 -2.2967 0.1048
1.0984 -8.2784 1.6779
```

First-principles (PBE) data for LaS6F2 after structural relaxation, as listed in Alexandria via LeMat-Bulk.

Output
total magnetization: 0.791 μB/f.u.
ΔE_f (raw): -1019 kJ/mol of formula units

POSCAR file:
```
LaS6F2
1.0
-0.7203 3.6943 1.3822
-1.4475 1.7722 -7.1809
-6.5488 -1.6406 0.9361
S F La
6 2 1
Cartesian
-5.4423 -0.1877 -1.6934
-6.4198 3.2321 -2.7350
-2.2968 0.5938 -2.1277
-4.4542 0.9784 -4.8202
-3.2743 4.0135 -3.1693
-4.2624 2.8475 -0.0425
-3.0318 3.3110 -6.3030
-5.6848 0.5148 1.4403
0.0000 0.0000 0.0000
```

First-principles (PBE) data for La3SF after structural relaxation, as listed in Alexandria via LeMat-Bulk.

Output
total magnetization: 0.000 μB/f.u.
ΔE_f (raw): -581 kJ/mol of formula units

POSCAR file:
```
La3SF
1.0
-0.4040 4.3061 -2.4227
0.8787 -2.3294 -4.2868
-4.8621 -0.7788 -0.5734
La S F
3 1 1
Cartesian
-2.4310 -0.3894 -0.2867
0.4393 -1.1647 -2.1434
-0.2020 2.1531 -1.2114
-2.1937 0.5989 -3.6415
0.0000 0.0000 0.0000
```

First-principles (PBE) data for LaSF3 after structural relaxation, as listed in Alexandria via LeMat-Bulk.

Output
total magnetization: 0.002 μB/f.u.
ΔE_f (raw): -666 kJ/mol of formula units

POSCAR file:
```
LaSF3
1.0
4.4671 0.0000 0.0000
0.0000 4.4671 0.0000
0.0000 0.0000 4.4671
F La S
3 1 1
Cartesian
0.0000 2.2336 0.0000
2.2336 0.0000 0.0000
0.0000 0.0000 2.2336
2.2336 2.2336 2.2336
0.0000 0.0000 0.0000
```

First-principles (PBE) data for LaSF3 after structural relaxation, as listed in Alexandria via LeMat-Bulk.

Output
total magnetization: 2.000 μB/f.u.
ΔE_f (raw): -1281 kJ/mol of formula units

POSCAR file:
```
LaSF3
1.0
4.7103 0.0000 0.0000
0.0000 4.7103 0.0000
0.0000 0.0000 4.7103
F S La
3 1 1
Cartesian
2.3551 0.0000 0.0000
0.0000 0.0000 2.3551
0.0000 2.3551 0.0000
2.3551 2.3551 2.3551
0.0000 0.0000 0.0000
```

First-principles (PBE) data for SrLaS2F after structural relaxation, as listed in Alexandria via LeMat-Bulk.

Output
total magnetization: 0.000 μB/f.u.
ΔE_f (raw): -1269 kJ/mol of formula units

POSCAR file:
```
SrLaS2F
1.0
4.1315 0.0000 0.0000
0.0000 4.1315 0.0000
0.0000 0.0000 14.3886
F S Sr La
2 4 2 2
Cartesian
0.0000 0.0000 7.1943
2.0657 2.0657 7.1943
2.0657 0.0000 4.4252
2.0657 0.0000 13.0624
0.0000 2.0657 9.9634
0.0000 2.0657 1.3263
2.0657 0.0000 8.6190
0.0000 2.0657 5.7696
2.0657 0.0000 1.8193
0.0000 2.0657 12.5694
```

First-principles (PBE) data for LaTlSF2 after structural relaxation, as listed in Alexandria via LeMat-Bulk.

Output
total magnetization: 0.000 μB/f.u.
ΔE_f (raw): -1251 kJ/mol of formula units

POSCAR file:
```
LaTlSF2
1.0
-1.3204 -2.5789 -3.7062
4.5144 -0.6832 -1.1329
0.1009 -4.7231 3.2505
F S La Tl
2 1 1 1
Cartesian
-0.6602 -1.2894 -1.8531
2.2572 -0.3416 -0.5665
0.0505 -2.3616 1.6253
0.0000 0.0000 0.0000
1.6475 -3.9926 -0.7943
```

First-principles (PBE) data for LaZn2SF after structural relaxation, as listed in Alexandria via LeMat-Bulk.

Output
total magnetization: 0.000 μB/f.u.
ΔE_f (raw): -471 kJ/mol of formula units

POSCAR file:
```
LaZn2SF
1.0
4.4781 0.0000 0.0000
0.0000 5.2627 0.0000
0.0000 0.0000 4.4781
S Zn La F
1 2 1 1
Cartesian
2.2390 2.6314 2.2390
0.0000 0.0000 2.2390
2.2390 0.0000 0.0000
0.0000 2.6314 0.0000
0.0000 0.0000 0.0000
```

First-principles (PBE) data for LaSbF3 after structural relaxation, as listed in Alexandria via LeMat-Bulk.

Output
total magnetization: 3.000 μB/f.u.
ΔE_f (raw): -1275 kJ/mol of formula units

POSCAR file:
```
LaSbF3
1.0
-2.5771 -3.9993 0.6431
2.3590 -0.8622 4.0916
-3.2929 2.5123 2.4279
F La Sb
3 1 1
Cartesian
-1.2885 -1.9997 0.3216
1.1795 -0.4311 2.0458
-1.6464 1.2561 1.2140
0.0000 0.0000 0.0000
-1.7554 -1.1746 3.5813
```

First-principles (PBE) data for LaSb3F after structural relaxation, as listed in Alexandria via LeMat-Bulk.

Output
total magnetization: 0.240 μB/f.u.
ΔE_f (raw): 172 kJ/mol of formula units

POSCAR file:
```
LaSb3F
1.0
-0.0632 0.7557 -6.0288
-3.0002 -5.2468 -0.6262
-5.2836 2.9702 0.4277
Sb F La
3 1 1
Cartesian
-0.0316 0.3778 -3.0144
-2.6418 1.4851 0.2139
-1.5001 -2.6234 -0.3131
-4.1735 -0.7604 -3.1137
0.0000 0.0000 0.0000
```

First-principles (PBE) data for LaSbF3 after structural relaxation, as listed in Alexandria via LeMat-Bulk.

Output
total magnetization: 0.679 μB/f.u.
ΔE_f (raw): -778 kJ/mol of formula units

POSCAR file:
```
LaSbF3
1.0
4.7131 0.0000 0.0000
0.0000 4.7131 0.0000
0.0000 0.0000 4.7131
F La Sb
3 1 1
Cartesian
0.0000 0.0000 2.3566
2.3566 0.0000 0.0000
0.0000 2.3566 0.0000
2.3566 2.3566 2.3566
0.0000 0.0000 0.0000
```

First-principles (PBE) data for LaSb3F after structural relaxation, as listed in Alexandria via LeMat-Bulk.

Output
total magnetization: 0.000 μB/f.u.
ΔE_f (raw): -406 kJ/mol of formula units

POSCAR file:
```
LaSb3F
1.0
-2.0225 3.6461 -2.7755
-4.3975 -2.3973 0.0552
-1.2882 2.4590 4.1691
F Sb La
1 3 1
Cartesian
0.0000 0.0000 0.0000
-0.6441 1.2295 2.0846
-2.1987 -1.1987 0.0276
-1.0113 1.8230 -1.3877
-3.8541 1.8539 0.7245
```

First-principles (PBE) data for SrLa2SbF after structural relaxation, as listed in Alexandria via LeMat-Bulk.

Output
total magnetization: 0.000 μB/f.u.
ΔE_f (raw): -237 kJ/mol of formula units

POSCAR file:
```
SrLa2SbF
1.0
-5.0840 -2.4433 -3.1546
2.7498 -1.3487 -3.3870
0.8806 -5.6705 2.9728
Sb F Sr La
1 1 1 2
Cartesian
0.0000 0.0000 0.0000
1.3749 -0.6743 -1.6935
-0.7268 -4.7313 -1.7844
-2.5420 -1.2217 -1.5773
0.4403 -2.8353 1.4864
```

First-principles (PBE) data for LaTcSb2F after structural relaxation, as listed in Alexandria via LeMat-Bulk.

Output
total magnetization: 1.962 μB/f.u.
ΔE_f (raw): 481 kJ/mol of formula units

POSCAR file:
```
LaTcSb2F
1.0
-2.2936 -1.8561 5.3218
-3.9084 -2.0329 -2.3934
3.0439 -5.2436 -0.5170
F La Sb Tc
1 1 2 1
Cartesian
-1.5790 -4.5663 1.2057
0.0000 0.0000 0.0000
-1.1468 -0.9281 2.6609
1.5220 -2.6218 -0.2585
-1.9542 -1.0164 -1.1967
```

One value per record, in order, for density: 7.009, 6.254, 7.205, 6.913, 6.410, 4.629, 1.205, 5.352, 5.945, 6.463, 5.366, 5.829, 4.450, 5.645, 2.986, 6.376, 4.246, 3.622, 4.187, 5.409, 5.047, 4.767, 3.872, 5.038, 6.914, 4.407, 4.467 g/cm3.